The following is a DFT calculation (PBE-GGA) of TaV2ReI after structural relaxation.

Values from the calculation:
D(E_F) ... 1.357 states/eV/atom
E_form (uncorrected) ... 1.294 eV per atom

a = 4.7835 Å, b = 4.9202 Å, c = 4.7835 Å
α = 90.00°, β = 90.00°, γ = 90.00°
Closest atoms and distances in Å follow each position.
Element x y z (fractional)
V1 0.5000 0.0000 0.0000  2 Re 2.39
V2 0.0000 0.0000 0.5000  2 Re 2.39
Re1 0.0000 0.0000 0.0000  4 V 2.39, 2 Ta 2.46
Ta1 0.0000 0.5000 0.0000  2 Re 2.46
I1 0.5000 0.5000 0.5000  4 Ta 3.38, 8 V 3.43